A geometry-optimized SbAsI structure, computed with PBE-GGA.

Summary:
- E: -10.32 eV/cell
- Density: 5.827 g cm⁻³
- Formation energy from raw total energies: 2 meV/atom
- Magnetization: 0.0 Bohr magnetons per cell

Lattice parameters (Å, degrees): 4.0542 4.0542 6.4778 90.00 90.00 120.00
Closest atoms and distances in Å follow each position.
Space group P3m1 (No. 156)
Symmetry-distinct sites (fractional):
Sb1 0.0000 0.0000 0.0000  3 As 2.75
As1 0.6667 0.3333 0.2219  3 Sb 2.75
I1 0.3333 0.6667 0.6267  3 Sb 3.37, 3 As 3.51

---

A geometry-optimized SbAs2I structure, computed with PBE-GGA.

Summary:
- E: -54.08 eV/cell
- Density: 5.066 g cm⁻³
- Formation energy from raw total energies: 363 meV/atom
- Magnetization: 0.0 Bohr magnetons per cell

Lattice parameters (Å, degrees): 7.5016 7.5016 9.2852 90.00 90.00 90.00
Closest atoms and distances in Å follow each position.
Space group I-42d (No. 122)
Symmetry-distinct sites (fractional):
Sb1 0.0000 0.0000 0.0000  4 As 2.73
As1 0.2134 0.7500 0.1250  2 Sb 2.73
I1 0.0000 0.0000 0.5000  4 As 3.08

---

A geometry-optimized SbAsI2 structure, computed with PBE-GGA.

Summary:
- E: -39.25 eV/cell
- Density: 5.787 g cm⁻³
- Formation energy from raw total energies: 515 meV/atom
- Magnetization: 0.0 Bohr magnetons per cell

Lattice parameters (Å, degrees): 8.5258 8.5258 7.1129 90.00 90.00 90.00
Closest atoms and distances in Å follow each position.
Space group I-42d (No. 122)
Symmetry-distinct sites (fractional):
Sb1 0.0000 0.0000 0.0000  4 I 3.25, 2 As 3.56
As1 0.0000 0.0000 0.5000  4 I 3.04
I1 0.2311 0.2500 0.6250  2 As 3.04, 2 Sb 3.25